Entry 1:
# Mg3Os, relaxed, DFT PBE
data_Mg3Os
_symmetry_space_group_name_H-M 'I 4/m m m'
_symmetry_Int_Tables_number 139
_symmetry_space_group_name_Hall '-I 4 2'
_cell_length_a 4.1872
_cell_length_b 4.1872
_cell_length_c 7.8656
_cell_angle_alpha 90.00
_cell_angle_beta 90.00
_cell_angle_gamma 90.00
loop_
_atom_site_label
_atom_site_type_symbol
_atom_site_fract_x
_atom_site_fract_y
_atom_site_fract_z
Mg1 Mg 0.0000 0.0000 0.0000
Mg2 Mg 0.0000 0.5000 0.2500
Os1 Os 0.0000 0.0000 0.5000
# - Magnetization: 0.00 μB per formula unit
# - Formation energy: 0.157 eV per atom
# - Electronic total energy: -3.846 eV per atom



Entry 2:
# Pa3Fe2Co, relaxed, DFT PBE
data_Pa3Fe2Co
_symmetry_space_group_name_H-M 'C 1 2/c 1'
_symmetry_Int_Tables_number 15
_symmetry_space_group_name_Hall '-C 2yc'
_cell_length_a 11.7016
_cell_length_b 5.5622
_cell_length_c 7.2505
_cell_angle_alpha 90.00
_cell_angle_beta 107.54
_cell_angle_gamma 90.00
loop_
_atom_site_label
_atom_site_type_symbol
_atom_site_fract_x
_atom_site_fract_y
_atom_site_fract_z
Pa1 Pa 0.0000 0.0725 0.2500
Pa2 Pa 0.1723 0.4317 0.6216
Fe1 Fe 0.1664 0.0766 0.0049
Co1 Co 0.0000 0.4111 0.7500
# - Magnetization: 0.00 μB per formula unit
# - Formation energy: -0.238 eV per atom
# - Electronic total energy: -8.991 eV per atom



Entry 3:
# PbW2C, relaxed, DFT PBE
data_PbW2C
_symmetry_space_group_name_H-M 'F m -3 m'
_symmetry_Int_Tables_number 225
_symmetry_space_group_name_Hall '-F 4 2 3'
_cell_length_a 6.2933
_cell_length_b 6.2933
_cell_length_c 6.2933
_cell_angle_alpha 90.00
_cell_angle_beta 90.00
_cell_angle_gamma 90.00
loop_
_atom_site_label
_atom_site_type_symbol
_atom_site_fract_x
_atom_site_fract_y
_atom_site_fract_z
Pb1 Pb 0.0000 0.0000 0.0000
W1 W 0.2500 0.2500 0.2500
C1 C 0.0000 0.0000 0.5000
# - Magnetization: 0.00 μB per formula unit
# - Formation energy: 1.980 eV per atom
# - Electronic total energy: -7.730 eV per atom



Entry 4:
# AsHSe2Cl, relaxed, DFT PBE
data_AsHSe2Cl
_symmetry_space_group_name_H-M 'P 4/m m m'
_symmetry_Int_Tables_number 123
_symmetry_space_group_name_Hall '-P 4 2'
_cell_length_a 3.9154
_cell_length_b 3.9154
_cell_length_c 7.3195
_cell_angle_alpha 90.00
_cell_angle_beta 90.00
_cell_angle_gamma 90.00
loop_
_atom_site_label
_atom_site_type_symbol
_atom_site_fract_x
_atom_site_fract_y
_atom_site_fract_z
As1 As 0.0000 0.0000 0.0000
H1 H 0.0000 0.0000 0.5000
Se1 Se 0.0000 0.5000 0.5000
Cl1 Cl 0.5000 0.5000 0.0000
# - Magnetization: 1.39 μB per formula unit
# - Electronic total energy: -2.808 eV per atom



Entry 5:
# K2RbCd2F7, relaxed, DFT PBE
data_K2RbCd2F7
_symmetry_space_group_name_H-M 'C 1 2/m 1'
_symmetry_Int_Tables_number 12
_symmetry_space_group_name_Hall '-C 2y'
_cell_length_a 6.3484
_cell_length_b 6.3474
_cell_length_c 11.6188
_cell_angle_alpha 90.00
_cell_angle_beta 105.84
_cell_angle_gamma 90.00
loop_
_atom_site_label
_atom_site_type_symbol
_atom_site_fract_x
_atom_site_fract_y
_atom_site_fract_z
K1 K 0.1829 0.0000 0.3707
Rb1 Rb 0.0000 0.0000 0.0000
Cd1 Cd 0.1014 0.5000 0.2027
F1 F 0.0000 0.5000 0.0000
F2 F 0.1502 0.2502 0.8002
F3 F 0.2031 0.5000 0.4010
# - Formation energy from raw total energies: -2.50 eV/atom
# - Magnetization: 0.00 μB per formula unit
# - Electronic total energy: -4.004 eV per atom



Entry 6:
# TmNb2Pd9, relaxed, DFT PBE
data_TmNb2Pd9
_symmetry_space_group_name_H-M 'P 4/m m m'
_symmetry_Int_Tables_number 123
_symmetry_space_group_name_Hall '-P 4 2'
_cell_length_a 4.0104
_cell_length_b 4.0104
_cell_length_c 12.0829
_cell_angle_alpha 90.00
_cell_angle_beta 90.00
_cell_angle_gamma 90.00
loop_
_atom_site_label
_atom_site_type_symbol
_atom_site_fract_x
_atom_site_fract_y
_atom_site_fract_z
Tm1 Tm 0.0000 0.0000 0.0000
Nb1 Nb 0.0000 0.0000 0.3333
Pd1 Pd 0.0000 0.5000 0.1762
Pd2 Pd 0.0000 0.5000 0.5000
Pd3 Pd 0.5000 0.5000 0.0000
Pd4 Pd 0.5000 0.5000 0.3384
# - Magnetization: 1.20 μB per formula unit
# - Formation energy: -0.540 eV per atom
# - Electronic total energy: -6.486 eV per atom



Entry 7:
# PrDyHo2Tm2, relaxed, DFT PBE
data_PrDyHo2Tm2
_symmetry_space_group_name_H-M 'P n n m'
_symmetry_Int_Tables_number 58
_symmetry_space_group_name_Hall '-P 2 2n'
_cell_length_a 6.4906
_cell_length_b 17.7634
_cell_length_c 3.3933
_cell_angle_alpha 90.00
_cell_angle_beta 90.00
_cell_angle_gamma 90.00
loop_
_atom_site_label
_atom_site_type_symbol
_atom_site_fract_x
_atom_site_fract_y
_atom_site_fract_z
Pr1 Pr 0.0000 0.0000 0.0000
Dy1 Dy 0.0000 0.5000 0.0000
Ho1 Ho 0.2193 0.1878 0.0000
Tm1 Tm 0.2169 0.3519 0.5000
# - Magnetization: 0.00 μB per formula unit
# - Formation energy: 0.283 eV per atom
# - Electronic total energy: -4.297 eV per atom